Material: HoPuO5
Method: DFT, PBE
State: relaxed

Summary:
- uncorrected formation energy (eV/atom) = -2.78

Lattice parameters (Å, degrees): 9.2080 6.4840 8.0655 90.00 116.07 90.00
Closest atoms and distances in Å follow each position.
Space group C2/c (No. 15)
Asymmetric unit:
Ho (0.0000, 0.0430, 0.2500) (multiplicity 4)  5 O 2.25-2.29
Pu (0.0000, 0.5000, 0.0000) (multiplicity 4)  4 O 1.90-1.99
O (0.0000, 0.3894, 0.2500) (multiplicity 4)  2 Pu 2.14, 1 Ho 2.25
O (0.0081, 0.1977, 0.9618) (multiplicity 8)  1 Pu 1.99
O (0.2293, 0.4866, 0.6182) (multiplicity 8)  1 Pu 1.90


Material: Rb2Ho2PuO6
Method: DFT, PBE
State: relaxed

Summary:
- uncorrected formation energy (eV/atom) = -2.82
- density of states at the Fermi level (states/eV/f.u.) = 1.26

Lattice parameters (Å, degrees): 6.0161 10.4126 6.9821 90.00 106.88 90.00
Closest atoms and distances in Å follow each position.
Space group C2/m (No. 12)
Asymmetric unit:
Rb (0.0000, 0.1684, 0.0000) (multiplicity 4)  6 O 2.99-3.00
Ho (0.0000, 0.3341, 0.5000) (multiplicity 4)  6 O 2.28-2.32
Pu (0.0000, 0.0000, 0.5000) (multiplicity 2)  6 O 2.22-2.27
O (0.2165, 0.1668, 0.6644) (multiplicity 8)  1 Pu 2.27, 2 Ho 2.28-2.32
O (0.2339, 0.5000, 0.6634) (multiplicity 4)  1 Pu 2.22, 2 Ho 2.31


Material: Rb2HoPuO6
Method: DFT, PBE
State: relaxed

Summary:
- uncorrected formation energy (eV/atom) = -2.54

Lattice parameters (Å, degrees): 8.6327 8.6327 8.6327 90.00 90.00 90.00
Closest atoms and distances in Å follow each position.
Space group Fm-3m (No. 225)
Asymmetric unit:
Rb (0.2500, 0.2500, 0.2500) (multiplicity 8)  12 O 3.05
Ho (0.0000, 0.0000, 0.0000) (multiplicity 4)  6 O 2.28
Pu (0.0000, 0.0000, 0.5000) (multiplicity 4)  6 O 2.03
O (0.0000, 0.0000, 0.2644) (multiplicity 24)  1 Pu 2.03


Material: Rb4HoPu3O12
Method: DFT, PBE
State: relaxed

Summary:
- uncorrected formation energy (eV/atom) = -2.55
- density of states at the Fermi level (states/eV/f.u.) = 9.37

Lattice parameters (Å, degrees): 8.6295 8.6295 8.6295 90.00 90.00 90.00
Closest atoms and distances in Å follow each position.
Space group Im-3m (No. 229)
Asymmetric unit:
Rb (0.2500, 0.2500, 0.2500) (multiplicity 8)  12 O 3.05
Ho (0.0000, 0.0000, 0.0000) (multiplicity 2)  6 O 2.29
Pu (0.0000, 0.0000, 0.5000) (multiplicity 6)  6 O 2.02-2.16
O (0.0000, 0.0000, 0.2657) (multiplicity 12)  1 Pu 2.02
O (0.0000, 0.2500, 0.5000) (multiplicity 12)  2 Pu 2.16


Material: Rb3Ho3PuO8
Method: DFT, PBE
State: relaxed

Summary:
- uncorrected formation energy (eV/atom) = -2.79
- density of states at the Fermi level (states/eV/f.u.) = 4.02

Lattice parameters (Å, degrees): 6.9577 6.9577 19.9374 90.00 90.00 120.00
Closest atoms and distances in Å follow each position.
Space group R-3m (No. 166, hexagonal axes)
Asymmetric unit:
Rb (0.0000, 0.5000, 0.0000) (multiplicity 9)  6 O 2.98
Ho (0.0000, 0.5000, 0.5000) (multiplicity 9)  6 O 2.30-2.32
Pu (0.0000, 0.0000, 0.5000) (multiplicity 3)  6 O 2.24
O (0.0000, 0.0000, 0.2230) (multiplicity 6)  3 Ho 2.30
O (0.0088, 0.5044, 0.2220) (multiplicity 18)  1 Pu 2.24, 2 Ho 2.32


Material: Rb4Ho3PuO8
Method: DFT, PBE
State: relaxed

Summary:
- uncorrected formation energy (eV/atom) = -2.60
- density of states at the Fermi level (states/eV/f.u.) = 5.99

Lattice parameters (Å, degrees): 7.0491 7.0491 19.6734 90.00 90.00 120.00
Closest atoms and distances in Å follow each position.
Space group R-3m (No. 166, hexagonal axes)
Asymmetric unit:
Rb (0.0000, 0.0000, 0.0000) (multiplicity 3)  6 O 2.92
Rb (0.0000, 0.5000, 0.0000) (multiplicity 9)  6 O 2.95-2.96
Ho (0.0000, 0.5000, 0.5000) (multiplicity 9)  6 O 2.32-2.34
Pu (0.0000, 0.0000, 0.5000) (multiplicity 3)  6 O 2.37
O (0.0000, 0.0000, 0.2249) (multiplicity 6)  3 Ho 2.34
O (0.0060, 0.5030, 0.7749) (multiplicity 18)  2 Ho 2.32, 1 Pu 2.37